Entry 1:
Computed, not measured: a geometry-optimized Pm2HfPd structure at the PBE-GGA level of DFT.

Unit cell a=3.580 b=3.580 c=7.985 alpha=90.00 beta=90.00 gamma=90.00
Sites, in units of the cell vectors:
Hf1 0.500 0.500 0.500
Pd1 0.500 0.500 0.000
Pm1 0.000 0.000 0.778
Pm2 0.000 0.000 0.222

Results
**Calculated density**: 9.330 g/cm3
**Density of states at the Fermi level**: 4.4 states/eV per cell
**Polymorph energy (0 for the lowest one)**: 0 meV per atom
**SG**: P4/mmm
**Formation energy**: -230 meV/atom

***

Entry 2:
Computed, not measured: a geometry-optimized Pm6Ge2AsS3 structure at the PBE-GGA level of DFT.

Unit cell a=4.172 b=8.310 c=9.290 alpha=102.50 beta=102.97 gamma=90.00
Sites, in units of the cell vectors:
Pm1 0.333 0.916 0.666
Pm2 0.666 0.584 0.333
Pm3 0.667 0.084 0.334
Pm4 0.001 0.251 0.002
Pm5 0.999 0.749 0.998
Pm6 0.334 0.416 0.667
Ge1 0.833 0.667 0.667
Ge2 0.167 0.333 0.333
As1 0.500 0.000 0.000
S1 0.500 0.500 0.000
S2 0.834 0.166 0.668
S3 0.166 0.834 0.332

Results
**Calculated density**: 6.438 g/cm3
**Formation energy (no corrections)**: -1588 meV per atom
**Density of states at the Fermi level**: 2.2 states/eV per cell
**SG**: C2/m

***

Entry 3:
Computed, not measured: a geometry-optimized Zr2CdAg2 structure at the PBE-GGA level of DFT.

Unit cell a=4.133 b=4.133 c=7.294 alpha=73.54 beta=73.54 gamma=90.00
Sites, in units of the cell vectors:
Zr1 0.750 0.250 0.500
Zr2 0.250 0.750 0.500
Ag1 0.403 0.403 0.194
Ag2 0.597 0.597 0.806
Cd1 0.000 0.000 0.000

Results
**Calculated density**: 7.426 g/cm3
**Density of states at the Fermi level**: 3.5 states/eV per cell
**Polymorph energy (0 for the lowest one)**: 265 meV per atom
**SG**: I4/mmm
**Formation energy**: 286 meV/atom

***

Entry 4:
Computed, not measured: a geometry-optimized H2PdBr structure at the PBE-GGA level of DFT.

Unit cell a=4.029 b=4.029 c=4.029 alpha=60.00 beta=60.00 gamma=60.00
Sites, in units of the cell vectors:
H1 0.250 0.250 0.250
H2 0.750 0.750 0.750
Br1 0.000 0.000 0.000
Pd1 0.500 0.500 0.500

Results
**Calculated density**: 6.763 g/cm3
**Density of states at the Fermi level**: 2.1 states/eV per cell
**Polymorph energy (0 for the lowest one)**: 681 meV per atom
**SG**: Fm-3m

***

Entry 5:
Computed, not measured: a geometry-optimized CuAg2IO4 structure at the PBE-GGA level of DFT.

Unit cell a=5.344 b=5.820 c=5.643 alpha=126.95 beta=119.65 gamma=84.72
Sites, in units of the cell vectors:
Cu1 0.992 0.551 0.964
Ag1 0.516 0.003 0.029
Ag2 0.197 0.231 0.469
I1 0.782 0.779 0.570
O1 0.598 0.502 0.600
O2 0.840 0.458 0.220
O3 0.415 0.774 0.236
O4 0.048 0.089 0.686

Results
**Calculated density**: 6.704 g/cm3
**Formation energy (no corrections)**: -144 meV per atom
**SG**: P1

***

Entry 6:
Computed, not measured: a geometry-optimized TcMo2As structure at the PBE-GGA level of DFT.

Unit cell a=2.834 b=2.834 c=8.418 alpha=90.00 beta=90.00 gamma=111.71
Sites, in units of the cell vectors:
As1 0.500 0.500 0.747
Mo1 0.000 0.000 0.996
Mo2 0.500 0.500 0.253
Tc1 0.000 0.000 0.504

Results
**Calculated density**: 9.646 g/cm3
**Density of states at the Fermi level**: 4.6 states/eV per cell
**SG**: Cmm2
**Formation energy**: 254 meV/atom

***

Entry 7:
Computed, not measured: a geometry-optimized YNi2P structure at the PBE-GGA level of DFT.

Unit cell a=4.962 b=4.962 c=4.962 alpha=137.07 beta=127.80 gamma=69.81
Sites, in units of the cell vectors:
Y1 0.722 0.222 0.500
Ni1 0.992 0.992 0.000
Ni2 0.322 0.822 0.500
P1 0.463 0.463 0.000

Results
**Calculated density**: 6.107 g/cm3
**Density of states at the Fermi level**: 2.0 states/eV per cell
**SG**: Imm2
**Formation energy**: -464 meV/atom

***

Entry 8:
Computed, not measured: a geometry-optimized GeAu12 structure at the PBE-GGA level of DFT.

Unit cell a=6.787 b=6.787 c=6.787 alpha=109.47 beta=109.47 gamma=109.47
Sites, in units of the cell vectors:
Ge1 0.000 0.000 0.000
Au1 0.687 0.502 0.815
Au2 0.687 0.872 0.185
Au3 0.313 0.128 0.815
Au4 0.313 0.498 0.185
Au5 0.502 0.815 0.687
Au6 0.872 0.185 0.687
Au7 0.128 0.815 0.313
Au8 0.498 0.185 0.313
Au9 0.815 0.687 0.502
Au10 0.185 0.687 0.872
Au11 0.815 0.313 0.128
Au12 0.185 0.313 0.498

Results
**Calculated density**: 16.810 g/cm3
**Density of states at the Fermi level**: 6.1 states/eV per cell
**SG**: Im-3
**Formation energy**: 67 meV/atom